## MoPI2O (GGA+U)

Data for a relaxed structure of MoPI2O.

Calculated values
- Distance to the lowest polymorph of the same formula: 0.0 meV/atom

a b c (Å): 5.7729 5.7729 3.5993
angles (deg): 90.00 90.00 90.00
Positions (direct):
Mo 0.0000 0.0000 0.0000
P 0.5000 0.5000 0.5000
I 0.0000 0.5000 0.5000
I 0.5000 0.0000 0.5000
O 0.5000 0.5000 0.0000